*one*
Compound: Ta2Os3
Source: Alexandria
Functional: PBEsol
Structure: optimized geometry

Lattice parameters (Å, degrees): 4.3134 4.3134 5.3079 90.00 90.00 120.00
Sites, in units of the cell vectors:
Ta: 0.3333 0.6667 0.3167
Ta: 0.6667 0.3333 0.6833
Os: 0.0000 0.0000 0.5000
Os: 0.3333 0.6667 0.8325
Os: 0.6667 0.3333 0.1675

Calculated values
Crystal system: trigonal
D(E_F), states/eV per cell: 4.589


*two*
Compound: Ta2Os3
Source: Alexandria
Functional: PBEsol
Structure: optimized geometry

Lattice parameters (Å, degrees): 7.0469 5.3426 8.1186 58.91 40.48 80.61
Sites, in units of the cell vectors:
Ta: 0.2648 0.7352 0.3403
Ta: 0.5903 0.9097 0.5148
Ta: 0.7352 0.2648 0.6597
Ta: 0.9097 0.5903 0.9852
Os: 0.1195 0.8111 0.0749
Os: 0.1751 0.2555 0.1305
Os: 0.2555 0.1751 0.4389
Os: 0.4313 0.4313 0.5687
Os: 0.6813 0.6813 0.8187
Os: 0.8111 0.1195 0.9945

Calculated values
Crystal system: orthorhombic
D(E_F), states/eV per cell: 7.560


The structure with the least stability is *one*.


*one*
Compound: TaTcOs2
Source: Alexandria
Functional: PBEsol
Structure: optimized geometry

Lattice parameters (Å, degrees): 5.1516 5.1516 5.1516 144.83 129.50 63.03
Sites, in units of the cell vectors:
Ta: 0.0000 0.0000 0.0000
Tc: 0.7671 0.2671 0.5000
Os: 0.2372 0.7372 0.5000
Os: 0.5067 0.5067 0.0000

Calculated values
Crystal system: orthorhombic
D(E_F), states/eV per cell: 3.310


*two*
Compound: TaTcOs2
Source: Alexandria
Functional: PBEsol
Structure: optimized geometry

Lattice parameters (Å, degrees): 4.7745 4.7745 4.7745 131.77 131.77 70.59
Sites, in units of the cell vectors:
Ta: 0.0000 0.0000 0.0000
Tc: 0.5000 0.5000 0.0000
Os: 0.2500 0.7500 0.5000
Os: 0.7500 0.2500 0.5000

Calculated values
Crystal system: tetragonal
D(E_F), states/eV per cell: 4.763


The structure with the least stability is *one*.


*one*
Compound: Ta2TlOs
Source: Alexandria
Functional: PBEsol
Structure: optimized geometry

Lattice parameters (Å, degrees): 5.1940 5.1940 5.1940 134.85 134.85 65.76
Sites, in units of the cell vectors:
Ta: 0.0000 0.0000 0.0000
Ta: 0.7500 0.2500 0.5000
Tl: 0.5000 0.5000 0.0000
Os: 0.2500 0.7500 0.5000

Calculated values
Crystal system: tetragonal
D(E_F), states/eV per cell: 4.406


*two*
Compound: Ta2TlOs
Source: Alexandria
Functional: PBEsol
Structure: optimized geometry

Lattice parameters (Å, degrees): 4.6309 4.6309 4.6309 60.00 60.00 60.00
Sites, in units of the cell vectors:
Ta: 0.2500 0.2500 0.2500
Ta: 0.7500 0.7500 0.7500
Tl: 0.0000 0.0000 0.0000
Os: 0.5000 0.5000 0.5000

Calculated values
Crystal system: cubic
D(E_F), states/eV per cell: 6.529


The structure with the least stability is *two*.


*one*
Compound: TaOs2W
Source: Alexandria
Functional: PBEsol
Structure: optimized geometry

Lattice parameters (Å, degrees): 9.1593 9.1593 9.1593 17.57 17.57 17.57
Sites, in units of the cell vectors:
Ta: 0.0000 0.0000 0.0000
Os: 0.2477 0.2477 0.2477
Os: 0.7523 0.7523 0.7523
W: 0.5000 0.5000 0.5000

Calculated values
Crystal system: trigonal
D(E_F), states/eV per cell: 4.185


*two*
Compound: TaOs2W
Source: Alexandria
Functional: PBEsol
Structure: optimized geometry

Lattice parameters (Å, degrees): 2.7545 4.2266 5.4222 90.00 104.16 90.00
Sites, in units of the cell vectors:
Ta: 0.0000 0.0000 0.0000
Os: 0.4135 0.5000 0.2483
Os: 0.5865 0.5000 0.7517
W: 0.0000 0.0000 0.5000

Calculated values
Crystal system: monoclinic
D(E_F), states/eV per cell: 3.399


The structure with the least stability is *one*.